1.
Nd2Cu12Ni3Hg: relaxed, GGA-PBE.

E_tot in eV/atom: -4.13
Magnetization in Bohr magnetons per cell: 0.0
ΔE_f in eV/f.u.: 2.0

Cell lengths 8.6600, 8.6600, 12.4339 Å; angles 90.00, 90.00, 120.00 degrees
Space group R-3m (No. 166, hexagonal axes)
Asymmetric unit:
Nd1 0.0000 0.0000 0.2443 (multiplicity 6)
Cu1 0.0032 0.5016 0.2061 (multiplicity 18)
Cu2 0.0487 0.5244 0.6018 (multiplicity 18)
Ni1 0.0000 0.5000 0.0000 (multiplicity 9)
Hg1 0.0000 0.0000 0.5000 (multiplicity 3)


2.
TmSnGe2: relaxed, GGA-PBE.

E_tot in eV/atom: -4.79
Energy relative to the lowest polymorph listed for this composition in meV/atom: 0
Magnetization in Bohr magnetons per cell: 0.0
ΔE_f in eV/f.u.: -1.4

Cell lengths 4.605, 4.605, 4.097 Å; angles 90.00, 90.00, 90.00 degrees
Space group P4/mmm (No. 123)
Asymmetric unit:
Tm1 0.000 0.000 0.000 (multiplicity 1)
Sn1 0.500 0.500 0.000 (multiplicity 1)
Ge1 0.000 0.500 0.500 (multiplicity 2)


3.
Pm2PuO: relaxed, GGA-PBE.

E_tot in eV/atom: -7.96
Energy relative to the lowest polymorph listed for this composition in meV/atom: 280
Formation energy from raw total energies in eV per atom: -0.76
Magnetization in Bohr magnetons per cell: 6.2

Cell lengths 3.173, 3.173, 8.802 Å; angles 90.00, 90.00, 90.00 degrees
Space group P4/mmm (No. 123)
Asymmetric unit:
Pm1 0.000 0.000 0.178 (multiplicity 2)
Pu1 0.500 0.500 0.500 (multiplicity 1)
O1 0.500 0.500 0.000 (multiplicity 1)


4.
BaMn2Te: relaxed, GGA-PBE.

E_tot in eV/atom: -5.71
Formation energy from raw total energies in eV per atom: 0.14
Magnetization in Bohr magnetons per cell: 11.7

Cell lengths 7.969, 4.604, 6.246 Å; angles 90.00, 115.06, 90.00 degrees
Space group C2/m (No. 12)
Asymmetric unit:
Ba1 0.000 0.000 0.000 (multiplicity 2)
Mn1 0.186 0.000 0.560 (multiplicity 4)
Te1 0.000 0.500 0.500 (multiplicity 2)


5.
Na2BeAs: relaxed, GGA-PBE.

E_tot in eV/atom: -2.43
Energy relative to the lowest polymorph listed for this composition in meV/atom: 338
Magnetization in Bohr magnetons per cell: 0.0
ΔE_f in eV/f.u.: 1.3

Cell lengths 6.826, 6.826, 6.826 Å; angles 90.00, 90.00, 90.00 degrees
Space group Fm-3m (No. 225)
Asymmetric unit:
Na1 0.250 0.250 0.250 (multiplicity 8)
Be1 0.000 0.000 0.000 (multiplicity 4)
As1 0.000 0.000 0.500 (multiplicity 4)